5
Lattice="6.479 0.000 0.000 0.000 6.479 0.000 0.000 0.000 6.643" Properties=species:S:1:pos:R:3 comment="RbAlSb2I GGA-PBE optimized geometry" spacegroup=P4/mmm rho_g_cm3=2.9 polymorph_energy_mev_per_atom=1129 dft_energy_ev_per_atom=-1.858 raw_formation_energy_ev_per_atom=1.04 pbc="T T T"
Rb 0.000 0.000 0.000
Al 3.239 3.239 3.321
Sb 0.000 3.239 0.000
Sb 3.239 0.000 0.000
I 0.000 0.000 3.321

***

10
Lattice="-4.270 4.270 6.035 4.270 -4.270 6.035 4.270 4.270 -6.035" Properties=species:S:1:pos:R:3 comment="Rb2AlSbI6 GGA-PBE optimized geometry" spacegroup=I4/mmm rho_g_cm3=4.1 dft_energy_ev_per_atom=-2.674 raw_formation_energy_ev_per_atom=-0.76 pbc="T T T"
Rb 4.270 0.000 3.018
Rb 0.000 4.270 3.018
Al 0.000 0.000 0.000
Sb 0.000 0.000 6.035
I 0.000 0.000 2.941
I 2.090 2.090 0.000
I 2.180 -2.180 6.035
I -2.180 2.180 6.035
I 2.180 2.180 6.035
I 0.000 0.000 9.129

***

10
Lattice="-4.109 4.109 6.166 4.109 -4.109 6.166 4.109 4.109 -6.166" Properties=species:S:1:pos:R:3 comment="Rb2AlSeI6 GGA-PBE optimized geometry" spacegroup=I4/mmm rho_g_cm3=4.1 dft_energy_ev_per_atom=-2.530 raw_formation_energy_ev_per_atom=-0.68 pbc="T T T"
Rb 4.109 0.000 3.083
Rb 0.000 4.109 3.083
Al 0.000 0.000 0.000
Se 0.000 0.000 6.166
I 0.000 0.000 2.743
I 2.038 2.038 0.000
I 2.071 -2.071 6.166
I -2.071 2.071 6.166
I 2.071 2.071 6.166
I 0.000 0.000 9.589

***

10
Lattice="-4.270 4.270 6.014 4.270 -4.270 6.014 4.270 4.270 -6.014" Properties=species:S:1:pos:R:3 comment="Rb2AlSnI6 GGA-PBE optimized geometry" spacegroup=I4/mmm rho_g_cm3=4.1 dft_energy_ev_per_atom=-2.744 raw_formation_energy_ev_per_atom=-0.85 pbc="T T T"
Rb 4.270 0.000 3.007
Rb 0.000 4.270 3.007
Al 0.000 0.000 0.000
Sn 0.000 0.000 6.014
I 0.000 0.000 2.874
I 2.045 2.045 0.000
I 2.224 -2.224 6.014
I -2.224 2.224 6.014
I 2.224 2.224 6.014
I 0.000 0.000 9.154

***

10
Lattice="-4.125 4.125 5.829 4.125 -4.125 5.829 4.125 4.125 -5.829" Properties=species:S:1:pos:R:3 comment="Rb2AlTcI6 GGA-PBE optimized geometry" spacegroup=I4/mmm rho_g_cm3=4.4 dft_energy_ev_per_atom=-3.110 raw_formation_energy_ev_per_atom=-0.58 pbc="T T T"
Rb 4.125 0.000 2.915
Rb 0.000 4.125 2.915
Al 0.000 0.000 0.000
Tc 0.000 0.000 5.829
I 0.000 0.000 3.044
I 2.157 2.157 0.000
I 1.968 -1.968 5.829
I -1.968 1.968 5.829
I 0.000 0.000 8.615
I 1.968 1.968 5.829

***

5
Lattice="5.890 0.000 0.000 0.000 5.890 0.000 0.000 0.000 5.406" Properties=species:S:1:pos:R:3 comment="RbAlTeI2 GGA-PBE optimized geometry" spacegroup=P4/mmm rho_g_cm3=4.4 polymorph_energy_mev_per_atom=0 dft_energy_ev_per_atom=-2.821 raw_formation_energy_ev_per_atom=-0.63 pbc="T T T"
Rb 0.000 0.000 0.000
Al 2.945 2.945 2.703
Te 2.945 2.945 0.000
I 0.000 2.945 2.703
I 2.945 0.000 2.703

***

5
Lattice="6.832 0.000 0.000 0.000 6.832 0.000 0.000 0.000 6.616" Properties=species:S:1:pos:R:3 comment="RbAlTeI2 GGA-PBE optimized geometry" spacegroup=P4/mmm rho_g_cm3=2.7 polymorph_energy_mev_per_atom=929 dft_energy_ev_per_atom=-1.892 raw_formation_energy_ev_per_atom=0.30 pbc="T T T"
Rb 0.000 0.000 0.000
Al 3.416 3.416 3.308
Te 0.000 0.000 3.308
I 0.000 3.416 0.000
I 3.416 0.000 0.000

***

5
Lattice="6.853 0.000 0.000 0.000 6.853 0.000 0.000 0.000 6.078" Properties=species:S:1:pos:R:3 comment="RbAl2TeI GGA-PBE optimized geometry" spacegroup=P4/mmm rho_g_cm3=2.3 dft_energy_ev_per_atom=-1.682 raw_formation_energy_ev_per_atom=0.95 pbc="T T T"
Rb 0.000 0.000 0.000
Al 0.000 3.426 0.000
Al 3.426 0.000 0.000
Te 0.000 0.000 3.039
I 3.426 3.426 3.039

***

12
Lattice="7.633 0.000 0.000 -3.816 6.610 0.000 0.000 0.000 11.728" Properties=species:S:1:pos:R:3 comment="RbAl2TlI8 GGA-PBE optimized geometry" spacegroup=P-3 rho_g_cm3=3.8 dft_energy_ev_per_atom=-2.767 raw_formation_energy_ev_per_atom=-0.83 pbc="T T T"
Rb 0.000 0.000 0.000
Al 0.000 4.407 9.031
Al 3.816 2.203 2.697
Tl 0.000 0.000 5.864
I -1.261 2.312 8.227
I 0.000 4.407 11.584
I -1.184 6.546 8.227
I 1.372 2.248 3.501
I 2.444 4.362 8.227
I 5.000 0.064 3.501
I 3.816 2.203 0.144
I 5.077 4.298 3.501

***

10
Lattice="8.399 0.000 0.000 3.794 7.504 0.000 3.800 2.332 7.137" Properties=species:S:1:pos:R:3 comment="Rb2AlTlI6 GGA-PBE optimized geometry" spacegroup=P-1 rho_g_cm3=4.3 dft_energy_ev_per_atom=-2.683 raw_formation_energy_ev_per_atom=-0.95 pbc="T T T"
Rb 3.828 2.349 1.707
Rb 12.166 7.487 5.430
Al 0.000 0.000 0.000
Tl 7.997 4.918 3.569
I 5.376 4.125 5.676
I 7.641 8.053 4.978
I 6.100 6.298 1.031
I 9.894 3.538 6.106
I 8.352 1.783 2.159
I 10.617 5.711 1.461

***

10
Lattice="0.000 5.802 5.802 5.802 0.000 5.802 5.802 5.802 0.000" Properties=species:S:1:pos:R:3 comment="Rb2AlVI6 GGA-PBE optimized geometry" spacegroup=Fm-3m rho_g_cm3=4.3 dft_energy_ev_per_atom=-3.174 raw_formation_energy_ev_per_atom=-0.76 pbc="T T T"
Rb 2.901 2.901 2.901
Rb 8.704 8.704 8.704
Al 0.000 0.000 0.000
V 5.802 5.802 5.802
I 5.802 5.802 2.928
I 5.802 2.928 5.802
I 8.677 5.802 5.802
I 2.928 5.802 5.802
I 5.802 8.677 5.802
I 5.802 5.802 8.677

***

5
Lattice="6.839 0.000 0.000 0.000 6.839 0.000 0.000 0.000 5.031" Properties=species:S:1:pos:R:3 comment="Rb2AlWI GGA-PBE optimized geometry" spacegroup=P4/mmm rho_g_cm3=3.6 dft_energy_ev_per_atom=-3.265 raw_formation_energy_ev_per_atom=0.77 pbc="T T T"
Rb 0.000 3.420 0.000
Rb 3.420 0.000 0.000
Al 0.000 0.000 2.516
W 0.000 0.000 0.000
I 3.420 3.420 2.516

***

5
Lattice="5.992 0.000 0.000 0.000 5.992 0.000 0.000 0.000 5.120" Properties=species:S:1:pos:R:3 comment="RbAl2WI GGA-PBE optimized geometry" spacegroup=P4/mmm rho_g_cm3=4.1 dft_energy_ev_per_atom=-2.986 raw_formation_energy_ev_per_atom=1.61 pbc="T T T"
Rb 0.000 0.000 0.000
Al 0.000 2.996 2.560
Al 2.996 0.000 2.560
W 2.996 2.996 0.000
I 2.996 2.996 2.560

***

5
Lattice="4.575 0.000 0.000 0.000 4.575 0.000 0.000 0.000 4.575" Properties=species:S:1:pos:R:3 comment="AlRe3I GGA-PBE optimized geometry" spacegroup=Pm-3m rho_g_cm3=12.4 polymorph_energy_mev_per_atom=0 dft_energy_ev_per_atom=-6.367 raw_formation_energy_ev_per_atom=2.16 pbc="T T T"
Al 0.000 0.000 0.000
Re 0.000 0.000 2.287
Re 0.000 2.287 0.000
Re 2.287 0.000 0.000
I 2.287 2.287 2.287

***

5
Lattice="5.546 0.000 0.000 0.000 5.546 0.000 0.000 0.000 5.546" Properties=species:S:1:pos:R:3 comment="AlReI3 GGA-PBE optimized geometry" spacegroup=Pm-3m rho_g_cm3=5.8 polymorph_energy_mev_per_atom=0 dft_energy_ev_per_atom=-3.452 raw_formation_energy_ev_per_atom=0.72 pbc="T T T"
Al 0.000 0.000 0.000
Re 2.773 2.773 2.773
I 0.000 2.773 2.773
I 2.773 0.000 2.773
I 2.773 2.773 0.000

***

5
Lattice="4.795 0.000 0.000 0.000 4.795 0.000 0.000 0.000 4.795" Properties=species:S:1:pos:R:3 comment="AlRe3I GGA-PBE optimized geometry" spacegroup=Pm-3m rho_g_cm3=10.7 polymorph_energy_mev_per_atom=656 dft_energy_ev_per_atom=-5.711 raw_formation_energy_ev_per_atom=2.82 pbc="T T T"
Al 0.000 0.000 0.000
Re 0.000 2.398 2.398
Re 2.398 0.000 2.398
Re 2.398 2.398 0.000
I 2.398 2.398 2.398

***

5
Lattice="5.643 0.000 0.000 0.000 5.643 0.000 0.000 0.000 5.643" Properties=species:S:1:pos:R:3 comment="AlReI3 GGA-PBE optimized geometry" spacegroup=Pm-3m rho_g_cm3=5.5 polymorph_energy_mev_per_atom=330 dft_energy_ev_per_atom=-3.122 raw_formation_energy_ev_per_atom=1.05 pbc="T T T"
Al 0.000 0.000 0.000
Re 2.821 2.821 2.821
I 0.000 0.000 2.821
I 0.000 2.821 0.000
I 2.821 0.000 0.000

***

5
Lattice="4.942 0.000 0.000 0.000 4.942 0.000 0.000 0.000 4.942" Properties=species:S:1:pos:R:3 comment="Al3ReI GGA-PBE optimized geometry" spacegroup=Pm-3m rho_g_cm3=5.4 polymorph_energy_mev_per_atom=0 dft_energy_ev_per_atom=-4.584 raw_formation_energy_ev_per_atom=0.46 pbc="T T T"
Al 0.000 0.000 2.471
Al 0.000 2.471 0.000
Al 2.471 0.000 0.000
Re 0.000 0.000 0.000
I 2.471 2.471 2.471

***

5
Lattice="5.512 0.000 0.000 0.000 5.512 0.000 0.000 0.000 4.699" Properties=species:S:1:pos:R:3 comment="AlReRhI2 GGA-PBE optimized geometry" spacegroup=P4/mmm rho_g_cm3=6.6 dft_energy_ev_per_atom=-4.053 raw_formation_energy_ev_per_atom=1.28 pbc="T T T"
Al 0.000 0.000 0.000
Re 2.756 2.756 0.000
Rh 0.000 0.000 2.349
I 0.000 2.756 2.349
I 2.756 0.000 2.349

***

5
Lattice="4.820 0.000 0.000 0.000 4.820 0.000 0.000 0.000 4.334" Properties=species:S:1:pos:R:3 comment="AlRe2SI GGA-PBE optimized geometry" spacegroup=P4/mmm rho_g_cm3=9.2 dft_energy_ev_per_atom=-5.067 raw_formation_energy_ev_per_atom=1.80 pbc="T T T"
Al 0.000 0.000 0.000
Re 0.000 2.410 0.000
Re 2.410 0.000 0.000
S 0.000 0.000 2.167
I 2.410 2.410 2.167

***

5
Lattice="5.607 0.000 0.000 0.000 5.607 0.000 0.000 0.000 4.953" Properties=species:S:1:pos:R:3 comment="TaAlReI2 GGA-PBE optimized geometry" spacegroup=P4/mmm rho_g_cm3=6.9 dft_energy_ev_per_atom=-4.871 raw_formation_energy_ev_per_atom=1.36 pbc="T T T"
Ta 0.000 0.000 0.000
Al 2.804 2.804 2.476
Re 0.000 0.000 2.476
I 0.000 2.804 0.000
I 2.804 0.000 0.000

***

5
Lattice="5.383 0.000 0.000 0.000 5.383 0.000 0.000 0.000 5.395" Properties=species:S:1:pos:R:3 comment="AlReTe2I GGA-PBE optimized geometry" spacegroup=P4/mmm rho_g_cm3=6.3 polymorph_energy_mev_per_atom=563 dft_energy_ev_per_atom=-3.561 raw_formation_energy_ev_per_atom=1.24 pbc="T T T"
Al 0.000 0.000 0.000
Re 2.691 2.691 2.698
Te 0.000 2.691 0.000
Te 2.691 0.000 0.000
I 0.000 0.000 2.698

***

5
Lattice="5.175 0.000 0.000 0.000 5.175 0.000 0.000 0.000 5.887" Properties=species:S:1:pos:R:3 comment="AlReTe2I GGA-PBE optimized geometry" spacegroup=P4/mmm rho_g_cm3=6.3 polymorph_energy_mev_per_atom=0 dft_energy_ev_per_atom=-4.124 raw_formation_energy_ev_per_atom=0.68 pbc="T T T"
Al 0.000 0.000 0.000
Re 2.588 2.588 2.943
Te 0.000 2.588 2.943
Te 2.588 0.000 2.943
I 2.588 2.588 0.000

***

5
Lattice="5.508 0.000 0.000 0.000 5.508 0.000 0.000 0.000 5.098" Properties=species:S:1:pos:R:3 comment="Y2AlReI GGA-PBE optimized geometry" spacegroup=P4/mmm rho_g_cm3=5.6 polymorph_energy_mev_per_atom=1391 dft_energy_ev_per_atom=-4.709 raw_formation_energy_ev_per_atom=1.43 pbc="T T T"
Y 0.000 2.754 0.000
Y 2.754 0.000 0.000
Al 0.000 0.000 2.549
Re 2.754 2.754 2.549
I 0.000 0.000 0.000

***

5
Lattice="5.470 0.000 0.000 0.000 5.470 0.000 0.000 0.000 4.873" Properties=species:S:1:pos:R:3 comment="Y2AlReI GGA-PBE optimized geometry" spacegroup=P4/mmm rho_g_cm3=5.9 polymorph_energy_mev_per_atom=0 dft_energy_ev_per_atom=-6.100 raw_formation_energy_ev_per_atom=0.03 pbc="T T T"
Y 0.000 2.735 0.000
Y 2.735 0.000 0.000
Al 0.000 0.000 2.436
Re 0.000 0.000 0.000
I 2.735 2.735 2.436

***

5
Lattice="5.561 0.000 0.000 0.000 5.561 0.000 0.000 0.000 5.561" Properties=species:S:1:pos:R:3 comment="AlRhI3 GGA-PBE optimized geometry" spacegroup=Pm-3m rho_g_cm3=4.9 polymorph_energy_mev_per_atom=438 dft_energy_ev_per_atom=-2.563 raw_formation_energy_ev_per_atom=0.59 pbc="T T T"
Al 0.000 0.000 0.000
Rh 2.780 2.780 2.780
I 0.000 0.000 2.780
I 0.000 2.780 0.000
I 2.780 0.000 0.000

***

5
Lattice="5.453 0.000 0.000 0.000 5.453 0.000 0.000 0.000 5.453" Properties=species:S:1:pos:R:3 comment="AlRhI3 GGA-PBE optimized geometry" spacegroup=Pm-3m rho_g_cm3=5.2 polymorph_energy_mev_per_atom=0 dft_energy_ev_per_atom=-3.001 raw_formation_energy_ev_per_atom=0.15 pbc="T T T"
Al 0.000 0.000 0.000
Rh 2.726 2.726 2.726
I 0.000 2.726 2.726
I 2.726 0.000 2.726
I 2.726 2.726 0.000